No. 1
Entry from Alexandria: a relaxed TiMnGaRe crystal (PBE).

a = 4.344 Å, b = 4.344 Å, c = 4.344 Å
α = 60.00°, β = 60.00°, γ = 60.00°
Positions (direct):
Ti 0.000 0.000 0.000
Mn 0.750 0.750 0.750
Ga 0.500 0.500 0.500
Re 0.250 0.250 0.250

uncorrected energy	-8.294	eV per atom

***

No. 2
Entry from Alexandria: a relaxed Mn2ZnGaRe crystal (PBE).

a = 4.451 Å, b = 4.451 Å, c = 4.360 Å
α = 90.00°, β = 90.00°, γ = 90.00°
Positions (direct):
Mn 0.000 0.500 0.000
Mn 0.500 0.000 0.000
Zn 0.000 0.000 0.000
Ga 0.000 0.000 0.500
Re 0.500 0.500 0.500

uncorrected energy	-5.673	eV per atom

***

No. 3
Entry from Alexandria: a relaxed MnGa3Rh crystal (PBE).

a = 4.745 Å, b = 4.745 Å, c = 4.745 Å
α = 90.00°, β = 90.00°, γ = 90.00°
Positions (direct):
Mn 0.000 0.000 0.000
Ga 0.000 0.500 0.500
Ga 0.500 0.000 0.500
Ga 0.500 0.500 0.000
Rh 0.500 0.500 0.500

energy above the lowest structure with this stoichiometry	0	meV per atom

***

No. 4
Entry from Alexandria: a relaxed MnGaRh2 crystal (PBE).

a = 3.049 Å, b = 3.049 Å, c = 6.041 Å
α = 90.00°, β = 90.00°, γ = 90.00°
Positions (direct):
Mn 0.000 0.000 0.000
Ga 0.000 0.000 0.500
Rh 0.500 0.500 0.256
Rh 0.500 0.500 0.744

uncorrected energy	-7.208	eV per atom

***

No. 5
Entry from Alexandria: a relaxed MnGa2Rh crystal (PBE).

a = 5.527 Å, b = 5.527 Å, c = 5.527 Å
α = 103.99°, β = 103.99°, γ = 121.10°
Positions (direct):
Mn 0.000 0.000 0.000
Mn 0.750 0.250 0.500
Ga 0.130 0.625 0.005
Ga 0.375 0.380 0.505
Ga 0.620 0.125 0.995
Ga 0.875 0.870 0.495
Rh 0.250 0.750 0.500
Rh 0.500 0.500 0.000

uncorrected energy	-5.668	eV per atom

***

No. 6
Entry from Alexandria: a relaxed Mn2GaRh crystal (PBE).

a = 3.692 Å, b = 3.692 Å, c = 3.935 Å
α = 90.00°, β = 90.00°, γ = 90.00°
Positions (direct):
Mn 0.000 0.500 0.000
Mn 0.500 0.000 0.000
Ga 0.000 0.000 0.500
Rh 0.500 0.500 0.500

uncorrected energy	-7.355	eV per atom

***

No. 7
Entry from Alexandria: a relaxed MnGa2Rh crystal (PBE).

a = 8.219 Å, b = 8.219 Å, c = 8.219 Å
α = 20.20°, β = 20.20°, γ = 20.20°
Positions (direct):
Mn 0.000 0.000 0.000
Ga 0.250 0.250 0.250
Ga 0.418 0.418 0.418
Rh 0.834 0.834 0.834

uncorrected energy	-5.892	eV per atom

***

No. 8
Entry from Alexandria: a relaxed MnGa3Rh2 crystal (PBE).

a = 2.945 Å, b = 2.945 Å, c = 9.587 Å
α = 90.00°, β = 90.00°, γ = 90.00°
Positions (direct):
Mn 0.000 0.000 0.000
Ga 0.500 0.500 0.167
Ga 0.500 0.500 0.500
Ga 0.500 0.500 0.833
Rh 0.000 0.000 0.335
Rh 0.000 0.000 0.665

uncorrected energy	-5.970	eV per atom

***

No. 9
Entry from Alexandria: a relaxed Mn2GaRh2 crystal (PBE).

a = 7.012 Å, b = 7.012 Å, c = 3.126 Å
α = 90.00°, β = 90.00°, γ = 90.00°
Positions (direct):
Mn 0.151 0.349 0.000
Mn 0.349 0.849 0.000
Mn 0.651 0.151 0.000
Mn 0.849 0.651 0.000
Ga 0.000 0.000 0.500
Ga 0.500 0.500 0.500
Rh 0.148 0.648 0.500
Rh 0.352 0.148 0.500
Rh 0.648 0.852 0.500
Rh 0.852 0.352 0.500

energy above the lowest structure with this stoichiometry	0	meV per atom

***

No. 10
Entry from Alexandria: a relaxed Mn3GaRh4 crystal (PBE).

a = 6.799 Å, b = 6.799 Å, c = 6.799 Å
α = 143.32°, β = 143.32°, γ = 52.85°
Positions (direct):
Mn 0.000 0.000 0.000
Mn 0.250 0.250 0.000
Mn 0.750 0.750 0.000
Ga 0.500 0.500 0.000
Rh 0.125 0.625 0.500
Rh 0.375 0.875 0.500
Rh 0.625 0.125 0.500
Rh 0.875 0.375 0.500

uncorrected energy	-7.838	eV per atom

***

No. 11
Entry from Alexandria: a relaxed Mn2GaRh2 crystal (PBE).

a = 7.128 Å, b = 7.128 Å, c = 2.757 Å
α = 90.00°, β = 90.00°, γ = 90.00°
Positions (direct):
Mn 0.112 0.388 0.000
Mn 0.388 0.888 0.000
Mn 0.612 0.112 0.000
Mn 0.888 0.612 0.000
Ga 0.000 0.000 0.000
Ga 0.500 0.500 0.000
Rh 0.182 0.682 0.500
Rh 0.318 0.182 0.500
Rh 0.682 0.818 0.500
Rh 0.818 0.318 0.500

energy above the lowest structure with this stoichiometry	145	meV per atom

***

No. 12
Entry from Alexandria: a relaxed MnGaRh2 crystal (PBE).

a = 4.273 Å, b = 4.273 Å, c = 3.055 Å
α = 90.00°, β = 90.00°, γ = 90.00°
Positions (direct):
Mn 0.000 0.000 0.000
Ga 0.500 0.500 0.000
Rh 0.000 0.500 0.500
Rh 0.500 0.000 0.500

uncorrected energy	-7.231	eV per atom

***

No. 13
Entry from Alexandria: a relaxed MnGaRh5 crystal (PBE).

a = 3.902 Å, b = 3.902 Å, c = 6.804 Å
α = 90.00°, β = 90.00°, γ = 90.00°
Positions (direct):
Mn 0.000 0.000 0.000
Ga 0.500 0.500 0.500
Rh 0.000 0.500 0.264
Rh 0.000 0.500 0.736
Rh 0.500 0.000 0.264
Rh 0.500 0.000 0.736
Rh 0.500 0.500 0.000

uncorrected energy	-7.078	eV per atom

***

No. 14
Entry from Alexandria: a relaxed Mn2Ga2Rh3 crystal (PBE).

a = 4.288 Å, b = 4.288 Å, c = 7.136 Å
α = 107.61°, β = 107.61°, γ = 60.01°
Positions (direct):
Mn 0.131 0.131 0.391
Mn 0.869 0.869 0.609
Ga 0.391 0.391 0.172
Ga 0.609 0.609 0.828
Rh 0.000 0.000 0.000
Rh 0.256 0.256 0.769
Rh 0.744 0.744 0.231

uncorrected energy	-6.974	eV per atom

***

No. 15
Entry from Alexandria: a relaxed MnGaRh2 crystal (PBE).

a = 5.435 Å, b = 5.435 Å, c = 5.435 Å
α = 103.69°, β = 103.69°, γ = 121.77°
Positions (direct):
Mn 0.000 0.000 0.000
Mn 0.750 0.250 0.500
Ga 0.250 0.750 0.500
Ga 0.500 0.500 0.000
Rh 0.094 0.625 0.969
Rh 0.375 0.344 0.469
Rh 0.656 0.125 0.031
Rh 0.875 0.906 0.531

uncorrected energy	-6.443	eV per atom

***

No. 16
Entry from Alexandria: a relaxed Mn2GaRh crystal (PBE).

a = 5.565 Å, b = 5.565 Å, c = 5.565 Å
α = 102.21°, β = 102.21°, γ = 125.24°
Positions (direct):
Mn 0.116 0.625 0.991
Mn 0.375 0.366 0.491
Mn 0.634 0.125 0.009
Mn 0.875 0.884 0.509
Ga 0.250 0.750 0.500
Ga 0.500 0.500 0.000
Rh 0.000 0.000 0.000
Rh 0.750 0.250 0.500

uncorrected energy	-6.919	eV per atom

***

No. 17
Entry from Alexandria: a relaxed Mn3GaRh crystal (PBE).

a = 4.243 Å, b = 4.243 Å, c = 4.243 Å
α = 90.00°, β = 90.00°, γ = 90.00°
Positions (direct):
Mn 0.000 0.000 0.500
Mn 0.000 0.500 0.000
Mn 0.500 0.000 0.000
Ga 0.000 0.000 0.000
Rh 0.500 0.500 0.500

energy above the lowest structure with this stoichiometry	724	meV per atom

***

No. 18
Entry from Alexandria: a relaxed MnGa6Rh crystal (PBE).

a = 5.403 Å, b = 5.403 Å, c = 5.403 Å
α = 104.54°, β = 104.54°, γ = 104.54°
Positions (direct):
Mn 0.000 0.000 0.000
Ga 0.214 0.214 0.680
Ga 0.214 0.680 0.214
Ga 0.320 0.786 0.786
Ga 0.680 0.214 0.214
Ga 0.786 0.320 0.786
Ga 0.786 0.786 0.320
Rh 0.500 0.500 0.500

uncorrected energy	-4.469	eV per atom

***

No. 19
Entry from Alexandria: a relaxed MnGa5Rh4 crystal (PBE).

a = 2.989 Å, b = 2.989 Å, c = 15.603 Å
α = 90.00°, β = 90.00°, γ = 90.00°
Positions (direct):
Mn 0.000 0.000 0.000
Ga 0.500 0.500 0.101
Ga 0.500 0.500 0.300
Ga 0.500 0.500 0.500
Ga 0.500 0.500 0.700
Ga 0.500 0.500 0.899
Rh 0.000 0.000 0.202
Rh 0.000 0.000 0.401
Rh 0.000 0.000 0.599
Rh 0.000 0.000 0.798

uncorrected energy	-5.932	eV per atom

***

No. 20
Entry from Alexandria: a relaxed Mn2GaRh crystal (PBE).

a = 4.225 Å, b = 4.225 Å, c = 4.225 Å
α = 60.00°, β = 60.00°, γ = 60.00°
Positions (direct):
Mn 0.000 0.000 0.000
Mn 0.250 0.250 0.250
Ga 0.500 0.500 0.500
Rh 0.750 0.750 0.750

uncorrected energy	-7.469	eV per atom

***

No. 21
Entry from Alexandria: a relaxed Mn3GaRh crystal (PBE).

a = 4.809 Å, b = 4.809 Å, c = 4.809 Å
α = 90.00°, β = 90.00°, γ = 90.00°
Positions (direct):
Mn 0.000 0.000 0.500
Mn 0.000 0.500 0.000
Mn 0.500 0.000 0.000
Ga 0.500 0.500 0.500
Rh 0.000 0.000 0.000

energy above the lowest structure with this stoichiometry	0	meV per atom

***

No. 22
Entry from Alexandria: a relaxed Mn2GaRh3 crystal (PBE).

a = 4.299 Å, b = 6.061 Å, c = 6.793 Å
α = 90.00°, β = 108.35°, γ = 90.00°
Positions (direct):
Mn 0.000 0.000 0.000
Mn 0.000 0.500 0.000
Mn 0.333 0.000 0.666
Mn 0.667 0.000 0.334
Ga 0.338 0.500 0.676
Ga 0.662 0.500 0.324
Rh 0.168 0.254 0.336
Rh 0.168 0.746 0.336
Rh 0.500 0.248 0.000
Rh 0.500 0.752 0.000
Rh 0.832 0.254 0.664
Rh 0.832 0.746 0.664

uncorrected energy	-7.626	eV per atom

***

No. 23
Entry from Alexandria: a relaxed TaMnGaRh crystal (PBE).

a = 4.316 Å, b = 4.316 Å, c = 4.316 Å
α = 60.00°, β = 60.00°, γ = 60.00°
Positions (direct):
Ta 0.000 0.000 0.000
Mn 0.250 0.250 0.250
Ga 0.500 0.500 0.500
Rh 0.750 0.750 0.750

uncorrected energy	-8.256	eV per atom

***

No. 24
Entry from Alexandria: a relaxed Tb2Mn2GaRh5 crystal (PBE).

a = 9.575 Å, b = 9.575 Å, c = 3.656 Å
α = 90.00°, β = 90.00°, γ = 90.00°
Positions (direct):
Tb 0.177 0.323 0.000
Tb 0.323 0.823 0.000
Tb 0.677 0.177 0.000
Tb 0.823 0.677 0.000
Mn 0.123 0.623 0.000
Mn 0.377 0.123 0.000
Mn 0.623 0.877 0.000
Mn 0.877 0.377 0.000
Ga 0.000 0.000 0.000
Ga 0.500 0.500 0.000
Rh 0.000 0.500 0.500
Rh 0.064 0.797 0.500
Rh 0.203 0.064 0.500
Rh 0.297 0.564 0.500
Rh 0.436 0.297 0.500
Rh 0.500 0.000 0.500
Rh 0.564 0.703 0.500
Rh 0.703 0.436 0.500
Rh 0.797 0.936 0.500
Rh 0.936 0.203 0.500

uncorrected energy	-7.201	eV per atom

***

No. 25
Entry from Alexandria: a relaxed UMnGaRh crystal (PBE).

a = 4.525 Å, b = 4.525 Å, c = 4.525 Å
α = 60.00°, β = 60.00°, γ = 60.00°
Positions (direct):
U 0.000 0.000 0.000
Mn 0.250 0.250 0.250
Ga 0.500 0.500 0.500
Rh 0.750 0.750 0.750

uncorrected energy	-7.942	eV per atom

***

No. 26
Entry from Alexandria: a relaxed MnGaRh2W crystal (PBE).

a = 4.394 Å, b = 4.394 Å, c = 4.414 Å
α = 90.00°, β = 90.00°, γ = 90.00°
Positions (direct):
Mn 0.000 0.000 0.000
Ga 0.000 0.000 0.500
Rh 0.000 0.500 0.000
Rh 0.500 0.000 0.000
W 0.500 0.500 0.500

uncorrected energy	-6.734	eV per atom

***

Number 1: total moment 2.9 Bohr magnetons per cell. Number 2: total moment 5.4 Bohr magnetons per cell. Number 3: total moment 4.6 Bohr magnetons per cell. Number 4: total moment 4.4 Bohr magnetons per cell. Number 5: total moment 6.4 Bohr magnetons per cell. Number 6: total moment 5.7 Bohr magnetons per cell. Number 7: total moment 2.9 Bohr magnetons per cell. Number 8: total moment 2.4 Bohr magnetons per cell. Number 9: total moment 17.1 Bohr magnetons per cell. Number 10: total moment 12.3 Bohr magnetons per cell. Number 11: total moment 7.9 Bohr magnetons per cell. Number 12: total moment 4.3 Bohr magnetons per cell. Number 13: total moment 2.0 Bohr magnetons per cell. Number 14: total moment 8.2 Bohr magnetons per cell. Number 15: total moment 0.0 Bohr magnetons per cell. Number 16: total moment 15.3 Bohr magnetons per cell. Number 17: total moment 0.0 Bohr magnetons per cell. Number 18: total moment 3.1 Bohr magnetons per cell. Number 19: total moment 2.4 Bohr magnetons per cell. Number 20: total moment 1.8 Bohr magnetons per cell. Number 21: total moment 13.5 Bohr magnetons per cell. Number 22: total moment 17.0 Bohr magnetons per cell. Number 23: total moment 0.0 Bohr magnetons per cell. Number 24: total moment 13.9 Bohr magnetons per cell. Number 25: total moment 0.9 Bohr magnetons per cell. Number 26: total moment 2.6 Bohr magnetons per cell.